Al8Zn2Re | Alexandria via LeMat-Bulk | PBE-GGA | relaxed; space group = No. 12; size of the total moment = 0.00 μB/f.u.; volume = 186.3 Å³/cell; final energy = -4.106 eV/atom
1.0
4.5886 0.0000 0.0000
0.0000 4.9349 -0.1206
-2.2943 -2.2477 8.2827
Al Zn Re
8 2 1
Direct
0.4211 0.4587 0.8422
0.0265 0.7891 0.0530
0.5789 0.5413 0.1578
0.2484 0.3086 0.4968
0.7516 0.6914 0.5032
0.9735 0.2109 0.9470
0.3465 0.8941 0.6929
0.6535 0.1059 0.3071
0.8243 0.2653 0.6485
0.1757 0.7347 0.3515
0.5000 0.0000 0.0000